Entry from Alexandria via LeMat-Bulk: a geometry-optimized MnGa2WO8 structure (PBE+U).

Properties
Its total magnetic moment is 3.0 μB/cell. The calculation puts the final energy at -6.746 eV/atom.

CIF file:
```
data_MnGa2WO8
_chemical_formula_sum 'Mn1 Ga2 W1 O8'
_space_group_name_H-M_alt 'P 1 2/m 1'
_space_group_IT_number 10
_cell_length_a 4.656
_cell_length_b 5.950
_cell_length_c 4.663
_cell_angle_alpha 90.00
_cell_angle_beta 93.10
_cell_angle_gamma 90.00
loop_
_space_group_symop_operation_xyz
'x,y,z'
'-x,-y,-z'
'-x,y,-z'
'x,-y,z'
loop_
_atom_site_label
_atom_site_type_symbol
_atom_site_fract_x
_atom_site_fract_y
_atom_site_fract_z
_atom_site_occupancy
Mn1 Mn 0.000 0.000 0.000 1
Ga1 Ga 0.500 0.242 0.500 1
W1 W 0.000 0.500 0.000 1
O1 O 0.189 0.253 0.813 1
O2 O 0.298 0.000 0.300 1
O3 O 0.305 0.500 0.306 1
```